The following is a PBE+U calculation of an optimized crystal structure of Mn5Co3O16, from the Alexandria database. Values from VASP.

```
&SYSTEM
  ibrav = 0, nat = 24, ntyp = 3
/
ATOMIC_SPECIES
Co 58.93 Co.upf
O 16.00 O.upf
Mn 54.94 Mn.upf
ATOMIC_POSITIONS angstrom
Co -2.138 0.861 2.050
Co -5.043 2.519 7.324
Co -6.959 0.868 6.020
O -3.088 0.672 3.685
O -3.915 -1.728 7.942
O -1.774 -1.423 4.411
O -4.466 -1.386 5.143
O -7.396 2.259 4.857
O -4.556 0.944 8.274
O -2.508 0.303 6.476
O -0.606 0.403 3.099
O -6.268 -0.532 7.108
O -5.454 3.933 6.178
O -2.283 -1.044 1.958
O -5.102 1.290 5.863
O -1.161 1.018 0.416
O -4.371 3.865 1.525
O -6.817 1.912 7.594
O -5.981 4.299 3.341
Mn -0.619 -1.526 2.843
Mn -4.372 -0.270 6.767
Mn -1.553 0.461 4.801
Mn -3.468 -1.189 3.499
Mn -6.375 0.473 8.769
CELL_PARAMETERS angstrom
-2.725 -4.063 2.919
1.120 -0.748 5.536
-6.400 5.689 2.195
```

As for the volume: 248.9 Å³ per cell. The final energy comes out at -6.5510 eV/atom. As for the total magnetic moment: 18.0 μB per cell.